Record 1
# Sm8Co3CuBr4

Sm8Co3CuBr4 after structural relaxation (PBE, Alexandria via LeMat-Bulk).

Summary:
The formation energy without anion corrections is -720 meV per atom. As for the magnetic moment: 0.000 μB per formula unit. As for the space group: R-3m (166).

a b c (Å): 8.9700 8.9700 8.9700
angles (deg): 52.97 52.97 52.97
With the nearest neighbours (Å) after each atom.
Fractional coordinates of all 16 atoms:
Sm 0.2180 0.7375 0.7375  2 Co 2.71, 1 Cu 2.82
Sm 0.2309 0.2309 0.2309  3 Co 2.74
Sm 0.2625 0.2625 0.7820  2 Co 2.71, 1 Cu 2.82
Sm 0.2625 0.7820 0.2625  2 Co 2.71, 1 Cu 2.82
Sm 0.7375 0.2180 0.7375  2 Co 2.71, 1 Cu 2.82
Sm 0.7375 0.7375 0.2180  2 Co 2.71, 1 Cu 2.82
Sm 0.7691 0.7691 0.7691  3 Co 2.74
Sm 0.7820 0.2625 0.2625  2 Co 2.71, 1 Cu 2.82
Co 0.0000 0.0000 0.5000  6 Sm 2.71-2.74
Co 0.0000 0.5000 0.0000  6 Sm 2.71-2.74
Co 0.5000 0.0000 0.0000  6 Sm 2.71-2.74
Cu 0.5000 0.5000 0.5000  6 Sm 2.82
Br 0.0000 0.0000 0.0000  6 Sm 3.24
Br 0.0000 0.5000 0.5000  6 Sm 3.30-3.34
Br 0.5000 0.0000 0.5000  6 Sm 3.30-3.34
Br 0.5000 0.5000 0.0000  6 Sm 3.30-3.34

Record 2
# Sm6Co2CuBr3

Sm6Co2CuBr3 after structural relaxation (PBE, Alexandria via LeMat-Bulk).

Summary:
The formation energy without anion corrections is -723 meV per atom. As for the magnetic moment: 0.000 μB per formula unit. As for the space group: C2/m (12).

a b c (Å): 6.9620 6.9620 8.0263
angles (deg): 98.30 98.30 120.03
With the nearest neighbours (Å) after each atom.
Fractional coordinates of all 12 atoms:
Sm 0.0834 0.4351 0.8061  2 Co 2.70-2.71, 1 Cu 2.87
Sm 0.2124 0.2124 0.1931  2 Co 2.70, 1 Cu 2.86
Sm 0.4351 0.0834 0.8061  2 Co 2.70-2.71, 1 Cu 2.87
Sm 0.5649 0.9166 0.1939  2 Co 2.70-2.71, 1 Cu 2.87
Sm 0.7876 0.7876 0.8069  2 Co 2.70, 1 Cu 2.86
Sm 0.9166 0.5649 0.1939  2 Co 2.70-2.71, 1 Cu 2.87
Co 0.1668 0.8332 0.0000  6 Sm 2.70-2.71
Co 0.8332 0.1668 0.0000  6 Sm 2.70-2.71
Cu 0.5000 0.5000 0.0000  6 Sm 2.86-2.87
Br 0.0000 0.0000 0.5000  6 Sm 3.22-3.35
Br 0.3334 0.6666 0.5000  6 Sm 3.22-3.36
Br 0.6666 0.3334 0.5000  6 Sm 3.22-3.36

Record 3
# Tb6Co2CuBr3

Tb6Co2CuBr3 after structural relaxation (PBE, Alexandria via LeMat-Bulk).

Summary:
The formation energy without anion corrections is -731 meV per atom. As for the magnetic moment: 0.000 μB per formula unit. As for the space group: C2/m (12).

a b c (Å): 6.8386 6.8386 7.9152
angles (deg): 98.26 98.26 120.02
With the nearest neighbours (Å) after each atom.
Fractional coordinates of all 12 atoms:
Tb 0.0838 0.4358 0.8076  2 Co 2.65, 1 Cu 2.82
Tb 0.2116 0.2116 0.1917  2 Co 2.65, 1 Cu 2.81
Tb 0.4358 0.0838 0.8076  2 Co 2.65, 1 Cu 2.82
Tb 0.5642 0.9162 0.1924  2 Co 2.65, 1 Cu 2.82
Tb 0.7884 0.7884 0.8083  2 Co 2.65, 1 Cu 2.81
Tb 0.9162 0.5642 0.1924  2 Co 2.65, 1 Cu 2.82
Co 0.1668 0.8332 0.0000  6 Tb 2.65
Co 0.8332 0.1668 0.0000  6 Tb 2.65
Cu 0.5000 0.5000 0.0000  6 Tb 2.81-2.82
Br 0.0000 0.0000 0.5000  6 Tb 3.17-3.31
Br 0.3333 0.6667 0.5000  6 Tb 3.17-3.31
Br 0.6667 0.3333 0.5000  6 Tb 3.17-3.31

Record 4
# TlCoCu2Br6

TlCoCu2Br6 after structural relaxation (PBE, Alexandria via LeMat-Bulk).

Summary:
The formation energy without anion corrections is -387 meV per atom. As for the magnetic moment: 3.922 μB per formula unit. As for the space group: C2/c (15).

a b c (Å): 9.4857 9.4857 8.0872
angles (deg): 109.38 109.38 82.77
With the nearest neighbours (Å) after each atom.
Fractional coordinates of all 20 atoms:
Tl 0.1919 0.8081 0.7500  6 Br 3.23-3.53
Tl 0.8081 0.1919 0.2500  6 Br 3.23-3.53
Co 0.1778 0.8222 0.2500  4 Br 2.36-2.37
Co 0.8222 0.1778 0.7500  4 Br 2.36-2.37
Cu 0.2576 0.3588 0.8278  4 Br 2.39-2.54
Cu 0.3588 0.2576 0.3278  4 Br 2.39-2.54
Cu 0.6412 0.7424 0.6722  4 Br 2.39-2.54
Cu 0.7424 0.6412 0.1722  4 Br 2.39-2.54
Br 0.0413 0.1826 0.6727  1 Co 2.37, 1 Cu 2.52
Br 0.1565 0.6087 0.9887  1 Co 2.36, 1 Cu 2.54
Br 0.1826 0.0413 0.1727  1 Co 2.37, 1 Cu 2.52
Br 0.2666 0.4239 0.5663  2 Cu 2.39-2.42
Br 0.3913 0.8435 0.5113  1 Co 2.36, 1 Cu 2.54
Br 0.4239 0.2666 0.0663  2 Cu 2.39-2.42
Br 0.5761 0.7334 0.9337  2 Cu 2.39-2.42
Br 0.6087 0.1565 0.4887  1 Co 2.36, 1 Cu 2.54
Br 0.7334 0.5761 0.4337  2 Cu 2.39-2.42
Br 0.8174 0.9587 0.8273  1 Co 2.37, 1 Cu 2.52
Br 0.8435 0.3913 0.0113  1 Co 2.36, 1 Cu 2.54
Br 0.9587 0.8174 0.3273  1 Co 2.37, 1 Cu 2.52

Record 5
# TlCo2CuBr

TlCo2CuBr after structural relaxation (PBE, Alexandria via LeMat-Bulk).

Summary:
The formation energy without anion corrections is 946 meV per atom. As for the magnetic moment: 4.396 μB per formula unit. As for the space group: P4/mmm (123).

a b c (Å): 4.6780 4.6780 5.1652
angles (deg): 90.00 90.00 90.00
With the nearest neighbours (Å) after each atom.
Fractional coordinates of all 5 atoms:
Tl 0.0000 0.0000 0.0000  2 Cu 2.58
Co 0.0000 0.5000 0.5000  2 Cu 2.34
Co 0.5000 0.0000 0.5000  2 Cu 2.34
Cu 0.0000 0.0000 0.5000  4 Co 2.34, 2 Tl 2.58
Br 0.5000 0.5000 0.0000  4 Tl 3.31, 8 Co 3.48

Record 6
# TlCoCuBr5

TlCoCuBr5 after structural relaxation (PBE, Alexandria via LeMat-Bulk).

Summary:
The formation energy without anion corrections is -427 meV per atom. As for the magnetic moment: 3.964 μB per formula unit. As for the space group: C2/c (15).

a b c (Å): 7.8199 7.8199 8.9007
angles (deg): 99.72 99.72 100.58
With the nearest neighbours (Å) after each atom.
Fractional coordinates of all 16 atoms:
Tl 0.1303 0.8697 0.7500  7 Br 3.34-3.62
Tl 0.8697 0.1303 0.2500  7 Br 3.34-3.62
Co 0.2120 0.7880 0.2500  4 Br 2.36-2.38
Co 0.7880 0.2120 0.7500  4 Br 2.36-2.38
Cu 0.5000 0.5000 0.0000  4 Br 2.43-2.54
Cu 0.5000 0.5000 0.5000  4 Br 2.43-2.54
Br 0.0522 0.2466 0.9358  1 Co 2.36
Br 0.1980 0.5455 0.3796  1 Co 2.38, 1 Cu 2.54
Br 0.2466 0.0522 0.4358  1 Co 2.36
Br 0.4179 0.5821 0.7500  2 Cu 2.43
Br 0.4545 0.8020 0.1204  1 Co 2.38, 1 Cu 2.54
Br 0.5455 0.1980 0.8796  1 Co 2.38, 1 Cu 2.54
Br 0.5821 0.4179 0.2500  2 Cu 2.43
Br 0.7534 0.9478 0.5642  1 Co 2.36
Br 0.8020 0.4545 0.6204  1 Co 2.38, 1 Cu 2.54
Br 0.9478 0.7534 0.0642  1 Co 2.36